Material: YPd2Au2
Method: DFT, GGA-PBE
State: relaxed

Computed properties:
Energy above the most stable polymorph in this dataset (eV per atom): 0.0685
Energy of formation (eV per atom): -0.529
Total energy (eV per atom): -5.210
V (Å³ per atom): 19.28
DOS at the Fermi energy (states/eV/f.u.): 2.2

```
data_YPd2Au2
_chemical_formula_sum 'Y2 Pd4 Au4'
_symmetry_space_group_name_H-M 'P 4/m b m'
_symmetry_Int_Tables_number 127
_symmetry_space_group_name_Hall '-P 4 2ab'
_cell_length_a 7.213
_cell_length_b 7.213
_cell_length_c 3.705
_cell_angle_alpha 90.00
_cell_angle_beta 90.00
_cell_angle_gamma 90.00
loop_
_atom_site_label
_atom_site_type_symbol
_atom_site_fract_x
_atom_site_fract_y
_atom_site_fract_z
_atom_site_occupancy
Y1 Y 0.000 0.000 0.000 1
Pd1 Pd 0.134 0.366 0.000 1
Au1 Au 0.163 0.663 0.500 1
```

=====

Material: YPd4Au8
Method: DFT, GGA-PBE
State: relaxed

Computed properties:
Energy of formation (eV per atom): -0.262
Total energy (eV per atom): -4.374
V (Å³ per atom): 18.62
DOS at the Fermi energy (states/eV/f.u.): 4.7

```
data_YPd4Au8
_chemical_formula_sum 'Y2 Pd8 Au16'
_symmetry_space_group_name_H-M 'I 4/m m m'
_symmetry_Int_Tables_number 139
_symmetry_space_group_name_Hall '-I 4 2'
_cell_length_a 9.273
_cell_length_b 9.273
_cell_length_c 5.629
_cell_angle_alpha 90.00
_cell_angle_beta 90.00
_cell_angle_gamma 90.00
loop_
_atom_site_label
_atom_site_type_symbol
_atom_site_fract_x
_atom_site_fract_y
_atom_site_fract_z
_atom_site_occupancy
Y1 Y 0.000 0.000 0.000 1
Pd1 Pd 0.250 0.250 0.250 1
Au1 Au 0.000 0.217 0.500 1
Au2 Au 0.000 0.334 0.000 1
```

=====

Material: YPd2Au2
Method: DFT, GGA-PBE
State: relaxed

Computed properties:
Energy above the most stable polymorph in this dataset (eV per atom): 0.1363
Energy of formation (eV per atom): -0.461
Total energy (eV per atom): -5.142
V (Å³ per atom): 19.35
DOS at the Fermi energy (states/eV/f.u.): 2.4

```
data_YPd2Au2
_chemical_formula_sum 'Y2 Pd4 Au4'
_symmetry_space_group_name_H-M 'P 4/m b m'
_symmetry_Int_Tables_number 127
_symmetry_space_group_name_Hall '-P 4 2ab'
_cell_length_a 7.470
_cell_length_b 7.470
_cell_length_c 3.467
_cell_angle_alpha 90.00
_cell_angle_beta 90.00
_cell_angle_gamma 90.00
loop_
_atom_site_label
_atom_site_type_symbol
_atom_site_fract_x
_atom_site_fract_y
_atom_site_fract_z
_atom_site_occupancy
Y1 Y 0.000 0.000 0.000 1
Pd1 Pd 0.166 0.334 0.500 1
Au1 Au 0.132 0.632 0.000 1
```